Entry from Alexandria: an optimized crystal structure of AgSbMo (GGA-PBE).

For the offset from the most stable computed form, the calculation gives 0.000 eV per atom. For the formation energy from raw total energies, the calculation gives 478 meV/atom. Its total magnetic moment is 0.00 μB/atom.

The structure belongs to space group I4mm (No. 107); the cell edges are 3.4097, 3.4097 and 9.8395 Å and the angles 90.00°, 90.00° and 90.00°. Symmetry generates all atoms from Ag at (0.0000, 0.0000, 0.0000), Sb at (0.0000, 0.0000, 0.6826) and Mo at (0.0000, 0.0000, 0.3234).

Entry from Alexandria: an optimized crystal structure of PmEu2Er (GGA-PBE).

For the offset from the most stable computed form, the calculation gives 0.052 eV per atom. Its total magnetic moment is 3.69 μB/atom.

The structure belongs to space group P4/mmm (No. 123); the cell edges are 5.9539, 5.9539 and 4.0463 Å and the angles 90.00°, 90.00° and 90.00°. Symmetry generates all atoms from Pm at (0.0000, 0.0000, 0.0000), Eu at (0.0000, 0.5000, 0.5000) and Er at (0.5000, 0.5000, 0.0000).

Entry from Alexandria: an optimized crystal structure of AlCr2In (GGA-PBE).

The value obtained for the total energy is -72.268 eV for the cell shown. Its total magnetic moment is 1.40 μB/atom.

The structure belongs to space group R-3m (No. 166, hexagonal axes); the cell edges are 2.9796, 2.9796 and 26.1531 Å and the angles 90.00°, 90.00° and 120.00°. Symmetry generates all atoms from Al at (0.0000, 0.0000, 0.0000), Cr at (0.0000, 0.0000, 0.2564) and In at (0.0000, 0.0000, 0.5000).

Entry from Alexandria: an optimized crystal structure of BaPaCl2 (GGA-PBE).

For the formation energy from raw total energies, the calculation gives -1004 meV/atom. Its total magnetic moment is 0.19 μB/atom.

The structure belongs to space group R-3m (No. 166, hexagonal axes); the cell edges are 3.6467, 3.6467 and 30.9213 Å and the angles 90.00°, 90.00° and 120.00°. Symmetry generates all atoms from Ba at (0.0000, 0.0000, 0.0000), Pa at (0.0000, 0.0000, 0.5000) and Cl at (0.0000, 0.0000, 0.1025).

The highest total magnetic moment belongs to which entry?
PmEu2Er

Number 3 is which compound?
AlCr2In

Which formula does entry 4 have?
BaPaCl2

What is the formula in the third record?
AlCr2In